! CsNbO3 | the Open Quantum Materials Database | GGA-PBE | optimized geometry; values from VASP
&SYSTEM
  ibrav = 0, nat = 10, ntyp = 3
/
ATOMIC_SPECIES
Cs 132.91 Cs.upf
Nb 92.91 Nb.upf
O 16.00 O.upf
ATOMIC_POSITIONS crystal
Cs 0.250 0.250 0.250
Cs 0.750 0.750 0.750
Nb 0.000 0.000 0.000
Nb 0.500 0.500 0.500
O 0.250 0.750 0.250
O 0.750 0.750 0.250
O 0.750 0.250 0.250
O 0.250 0.750 0.750
O 0.250 0.250 0.750
O 0.750 0.250 0.750
CELL_PARAMETERS angstrom
0.242 5.257 -2.571
4.981 3.080 0.093
3.095 0.714 -4.921
! - ρ (g cm⁻³) = 6.4
! - total DFT energy (no corrections) (eV/f.u.) = -36.67

=====

! La2PrNi2Pt7 | the Open Quantum Materials Database | GGA-PBE | optimized geometry; values from VASP
&SYSTEM
  ibrav = 0, nat = 12, ntyp = 4
/
ATOMIC_SPECIES
La 138.91 La.upf
Ni 58.69 Ni.upf
Pr 140.91 Pr.upf
Pt 195.08 Pt.upf
ATOMIC_POSITIONS crystal
La 0.139 0.139 0.139
La 0.861 0.861 0.861
Ni 0.333 0.333 0.333
Ni 0.667 0.667 0.667
Pr 0.000 0.000 0.000
Pt 0.580 0.580 0.077
Pt 0.923 0.420 0.420
Pt 0.420 0.923 0.420
Pt 0.500 0.500 0.500
Pt 0.580 0.077 0.580
Pt 0.077 0.580 0.580
Pt 0.420 0.420 0.923
CELL_PARAMETERS angstrom
5.198 0.902 7.593
6.026 5.348 4.534
1.553 4.967 7.642
! - ρ (g cm⁻³) = 14.1
! - total DFT energy (no corrections) (eV/f.u.) = -78.48
! - ΔE_f (eV per atom) = -0.861